# Nd2Ga2Ni3 (GGA-PBE, optimized geometry)
data_Nd2Ga2Ni3
_chemical_formula_sum 'Nd8 Ga8 Ni12'
_symmetry_space_group_name_H-M 'C m c m'
_symmetry_Int_Tables_number 63
_symmetry_space_group_name_Hall '-C 2c 2'
_cell_length_a 4.089
_cell_length_b 18.090
_cell_length_c 6.956
_cell_angle_alpha 90.00
_cell_angle_beta 90.00
_cell_angle_gamma 90.00
loop_
_atom_site_label
_atom_site_type_symbol
_atom_site_fract_x
_atom_site_fract_y
_atom_site_fract_z
Nd1 Nd 0.000 0.059 0.250
Nd2 Nd 0.000 0.150 0.750
Ga1 Ga 0.000 0.310 0.559
Ni1 Ni 0.000 0.226 0.250
Ni2 Ni 0.000 0.442 0.073
# - Relative energy among the computed polymorphs: 0 meV per atom
# - Volume: 514.5 Å³ per cell
# - Total moment: 0.00 μB/f.u.
# - E: -5.186 eV per atom
# - Density: 7.80 Mg/m³